Compound: CsYGe2Cl8
Source: the Alexandria database
Functional: GGA-PBE
Structure: optimized geometry

Unit cell a=6.3307 b=7.1806 c=9.7859 alpha=92.53 beta=94.86 gamma=97.83
Space group P-1 (No. 2)
One atom of each set of equivalent atoms:
Cs 0.0000 0.0000 0.0000
Y 0.0000 0.0000 0.5000
Ge 0.4494 0.5757 0.3038
Cl 0.1996 0.6977 0.4503
Cl 0.2147 0.1955 0.3261
Cl 0.2682 0.6065 0.0969
Cl 0.2996 0.1102 0.7101

Results
The total DFT energy (no corrections) comes out at -4.098 eV per atom.

Compound: Cs2ZnGeCl6
Source: the Alexandria database
Functional: GGA-PBE
Structure: optimized geometry

Unit cell a=10.4150 b=10.4150 c=10.4150 alpha=90.00 beta=90.00 gamma=90.00
Space group Fm-3m (No. 225)
One atom of each set of equivalent atoms:
Cs 0.2500 0.2500 0.2500
Zn 0.0000 0.0000 0.0000
Ge 0.0000 0.0000 0.5000
Cl 0.0000 0.0000 0.2424

Results
The total DFT energy (no corrections) comes out at -3.246 eV per atom.

Compound: CsH3Cl3
Source: the Alexandria database
Functional: GGA-PBE
Structure: optimized geometry

Unit cell a=7.6306 b=7.6306 c=18.6879 alpha=90.00 beta=90.00 gamma=120.00
Space group R-3 (No. 148, hexagonal axes)
One atom of each set of equivalent atoms:
Cs 0.0000 0.0000 0.2500
H 0.0728 0.9254 0.0368
Cl 0.0078 0.5058 0.7481

Results
The total DFT energy (no corrections) comes out at -3.038 eV per atom.

Compound: Cs2HCl
Source: the Alexandria database
Functional: GGA-PBE
Structure: optimized geometry

Unit cell a=7.6162 b=7.6162 c=13.7558 alpha=90.00 beta=90.00 gamma=90.00
Space group I-42d (No. 122)
One atom of each set of equivalent atoms:
Cs 0.2115 0.2500 0.1250
H 0.0000 0.0000 0.0000
Cl 0.0000 0.0000 0.5000

Results
The total DFT energy (no corrections) comes out at -2.728 eV per atom. The relative energy among the computed polymorphs is 60.0 meV/atom.

Compound: Cs2HCl
Source: the Alexandria database
Functional: GGA-PBE
Structure: optimized geometry

Unit cell a=4.7835 b=4.7835 c=23.5681 alpha=90.00 beta=90.00 gamma=120.00
Space group R-3m (No. 166, hexagonal axes)
One atom of each set of equivalent atoms:
Cs 0.0000 0.0000 0.2429
H 0.0000 0.0000 0.5000
Cl 0.0000 0.0000 0.0000

Results
The total DFT energy (no corrections) comes out at -2.788 eV per atom. The relative energy among the computed polymorphs is 0.0 meV/atom.

Compound: CsHCl4
Source: the Alexandria database
Functional: GGA-PBE
Structure: optimized geometry

Unit cell a=6.4061 b=6.4438 c=6.8250 alpha=65.60 beta=65.42 gamma=64.07
Space group P1 (No. 1)
One atom of each set of equivalent atoms:
Cs 0.0000 0.0000 0.0000
H 0.5016 0.5020 0.4986
Cl 0.1287 0.1273 0.3916
Cl 0.3719 0.3739 0.1110
Cl 0.6295 0.6274 0.8882
Cl 0.8726 0.8739 0.6073

Results
The total DFT energy (no corrections) comes out at -2.216 eV per atom.

Compound: Cs3H2Cl
Source: the Alexandria database
Functional: GGA-PBE
Structure: optimized geometry

Unit cell a=4.6808 b=6.7770 c=14.1924 alpha=90.00 beta=90.00 gamma=90.00
Space group Immm (No. 71)
One atom of each set of equivalent atoms:
Cs 0.0000 0.0000 0.0000
Cs 0.0000 0.0000 0.3189
H 0.0000 0.5000 0.3333
Cl 0.0000 0.5000 0.0000

Results
The total DFT energy (no corrections) comes out at -2.612 eV per atom.

Compound: Cs5H4Cl
Source: the Alexandria database
Functional: GGA-PBE
Structure: optimized geometry

Unit cell a=4.6207 b=6.6654 c=23.2517 alpha=90.00 beta=90.00 gamma=90.00
Space group Immm (No. 71)
One atom of each set of equivalent atoms:
Cs 0.0000 0.0000 0.0000
Cs 0.0000 0.0000 0.1989
Cs 0.0000 0.0000 0.3891
H 0.0000 0.5000 0.2042
H 0.0000 0.5000 0.3969
Cl 0.0000 0.5000 0.0000

Results
The total DFT energy (no corrections) comes out at -2.475 eV per atom.

Compound: CsHCl6
Source: the Alexandria database
Functional: GGA-PBE
Structure: optimized geometry

Unit cell a=5.5861 b=5.8372 c=10.5974 alpha=74.69 beta=80.61 gamma=72.59
Space group P-1 (No. 2)
One atom of each set of equivalent atoms:
Cs 0.0000 0.0000 0.0000
H 0.5000 0.5000 0.0000
Cl 0.1891 0.8049 0.4367
Cl 0.2644 0.5938 0.3018
Cl 0.3637 0.3201 0.1001

Results
The total DFT energy (no corrections) comes out at -2.553 eV per atom.

Compound: CsH2Cl3
Source: the Alexandria database
Functional: GGA-PBE
Structure: optimized geometry

Unit cell a=11.1934 b=8.6939 c=7.4703 alpha=90.00 beta=104.83 gamma=90.00
Space group C2/c (No. 15)
One atom of each set of equivalent atoms:
Cs 0.0000 0.2391 0.2500
H 0.1131 0.3117 0.7202
Cl 0.0000 0.1649 0.7500
Cl 0.1897 0.4237 0.6782

Results
The total DFT energy (no corrections) comes out at -3.239 eV per atom.

Compound: Cs4H12Cl
Source: the Alexandria database
Functional: GGA-PBE
Structure: optimized geometry

Unit cell a=9.7116 b=9.7116 c=9.7116 alpha=90.00 beta=90.00 gamma=90.00
Space group Im-3 (No. 204)
One atom of each set of equivalent atoms:
Cs 0.2500 0.2500 0.2500
H 0.0000 0.4598 0.1250
Cl 0.0000 0.0000 0.0000

Results
The total DFT energy (no corrections) comes out at -2.795 eV per atom.

Compound: CsH2Cl
Source: the Alexandria database
Functional: GGA-PBE
Structure: optimized geometry

Unit cell a=4.9167 b=4.8525 c=8.9422 alpha=90.00 beta=90.08 gamma=90.00
Space group P2_1/m (No. 11)
One atom of each set of equivalent atoms:
Cs 0.2500 0.2500 0.1952
H 0.2485 0.6724 0.5344
Cl 0.2501 0.2500 0.8078

Results
The total DFT energy (no corrections) comes out at -3.326 eV per atom. The relative energy among the computed polymorphs is 0.0 meV/atom.

Compound: Cs6H2Cl3
Source: the Alexandria database
Functional: GGA-PBE
Structure: optimized geometry

Unit cell a=4.8596 b=4.8596 c=73.7449 alpha=90.00 beta=90.00 gamma=120.00
Space group R-3m (No. 166, hexagonal axes)
One atom of each set of equivalent atoms:
Cs 0.0000 0.0000 0.0856
Cs 0.0000 0.0000 0.1992
Cs 0.0000 0.0000 0.3619
H 0.0000 0.0000 0.4432
Cl 0.0000 0.0000 0.0000
Cl 0.0000 0.0000 0.2762

Results
The total DFT energy (no corrections) comes out at -2.693 eV per atom.

Compound: Cs2HCl
Source: the Alexandria database
Functional: GGA-PBE
Structure: optimized geometry

Unit cell a=4.0556 b=4.0556 c=8.1482 alpha=90.00 beta=90.00 gamma=90.00
Space group P4/mmm (No. 123)
One atom of each set of equivalent atoms:
Cs 0.0000 0.0000 0.2381
H 0.5000 0.5000 0.0000
Cl 0.5000 0.5000 0.5000

Results
The total DFT energy (no corrections) comes out at -2.735 eV per atom. The relative energy among the computed polymorphs is 52.6 meV/atom.

Compound: Cs2HCl
Source: the Alexandria database
Functional: GGA-PBE
Structure: optimized geometry

Unit cell a=8.1703 b=8.1703 c=8.1703 alpha=90.00 beta=90.00 gamma=90.00
Space group Fm-3m (No. 225)
One atom of each set of equivalent atoms:
Cs 0.2500 0.2500 0.2500
H 0.0000 0.0000 0.0000
Cl 0.0000 0.0000 0.5000

Results
The total DFT energy (no corrections) comes out at -2.728 eV per atom. The relative energy among the computed polymorphs is 60.3 meV/atom.

Compound: Cs3HCl
Source: the Alexandria database
Functional: GGA-PBE
Structure: optimized geometry

Unit cell a=6.2080 b=6.2080 c=6.2080 alpha=90.00 beta=90.00 gamma=90.00
Space group Pm-3m (No. 221)
One atom of each set of equivalent atoms:
Cs 0.0000 0.0000 0.5000
H 0.0000 0.0000 0.0000
Cl 0.5000 0.5000 0.5000

Results
The total DFT energy (no corrections) comes out at -2.135 eV per atom. The relative energy among the computed polymorphs is 0.0 meV/atom.

Compound: Cs2HCl
Source: the Alexandria database
Functional: GGA-PBE
Structure: optimized geometry

Unit cell a=8.7992 b=11.9508 c=12.5230 alpha=90.00 beta=90.00 gamma=90.00
Space group Immm (No. 71)
One atom of each set of equivalent atoms:
Cs 0.0000 0.2311 0.0000
H 0.0000 0.0000 0.0000
Cl 0.0000 0.5000 0.0000

Results
The total DFT energy (no corrections) comes out at -2.415 eV per atom. The relative energy among the computed polymorphs is 372.7 meV/atom.

Compound: Cs3H2Cl4
Source: the Alexandria database
Functional: GGA-PBE
Structure: optimized geometry

Unit cell a=15.2991 b=9.7297 c=10.3341 alpha=90.00 beta=95.83 gamma=90.00
Space group C2/c (No. 15)
One atom of each set of equivalent atoms:
Cs 0.0000 0.0753 0.2500
Cs 0.1508 0.4478 0.9060
H 0.1404 0.1741 0.6737
Cl 0.0792 0.2324 0.5678
Cl 0.2042 0.1066 0.7998

Results
The total DFT energy (no corrections) comes out at -2.957 eV per atom.

Compound: Cs4H2Cl
Source: the Alexandria database
Functional: GGA-PBE
Structure: optimized geometry

Unit cell a=4.7658 b=4.7658 c=48.8079 alpha=90.00 beta=90.00 gamma=120.00
Space group R-3m (No. 166, hexagonal axes)
One atom of each set of equivalent atoms:
Cs 0.0000 0.0000 0.1177
Cs 0.0000 0.0000 0.2895
H 0.0000 0.0000 0.4142
Cl 0.0000 0.0000 0.0000

Results
The total DFT energy (no corrections) comes out at -2.338 eV per atom.

Compound: CsH2Cl
Source: the Alexandria database
Functional: GGA-PBE
Structure: optimized geometry

Unit cell a=7.2471 b=7.2471 c=7.2471 alpha=90.00 beta=90.00 gamma=90.00
Space group Fm-3m (No. 225)
One atom of each set of equivalent atoms:
Cs 0.0000 0.0000 0.0000
H 0.2500 0.2500 0.2500
Cl 0.0000 0.0000 0.5000

Results
The total DFT energy (no corrections) comes out at -2.196 eV per atom. The relative energy among the computed polymorphs is 1130.3 meV/atom.